Below is a relaxed Pm2Nd4Sn3O2 crystal, with properties calculated at the PBE level. Values from VASP.

## Properties
Raw total energy = -6.062 eV/atom
Spin magnetization = 0.0 μB/cell
Space-group type = I4/mmm
Formation energy from raw total energies = -1.471 eV per atom

Cell and atoms, written as Quantum ESPRESSO input:
```
&SYSTEM
  ibrav = 0, nat = 11, ntyp = 4
/
ATOMIC_SPECIES
Pm 145.00 Pm.upf
Nd 144.24 Nd.upf
Sn 118.71 Sn.upf
O 16.00 O.upf
CELL_PARAMETERS angstrom
4.8205 0.0000 0.0000
0.0000 4.8205 0.0000
-2.4102 -2.4102 12.9448
ATOMIC_POSITIONS angstrom
Pm 0.0000 0.0000 7.9108
Pm 2.4102 2.4102 5.0340
Nd 0.0000 2.4102 10.8022
Nd 2.4102 0.0000 10.8022
Nd 0.0000 2.4102 2.1427
Nd 2.4102 0.0000 2.1427
Sn 0.0000 0.0000 0.0000
Sn 0.0000 0.0000 4.6152
Sn 2.4102 2.4102 8.3296
O 0.0000 0.0000 10.2995
O 2.4102 2.4102 2.6454
```

---

Below is a relaxed Pm2HoCo2 crystal, with properties calculated at the PBE level. Values from VASP.

## Properties
Raw total energy = -5.728 eV/atom
Spin magnetization = 0.0 μB/cell
Energy of formation = -6.71 kJ/mol of atoms
Space-group type = P4/mbm
Distance to the lowest polymorph of the same formula = 15 meV/atom

Cell and atoms, written as Quantum ESPRESSO input:
```
&SYSTEM
  ibrav = 0, nat = 20, ntyp = 3
/
ATOMIC_SPECIES
Pm 145.00 Pm.upf
Ho 164.93 Ho.upf
Co 58.93 Co.upf
CELL_PARAMETERS angstrom
7.2745 0.0000 0.0000
0.0000 7.2745 0.0000
0.0000 0.0000 8.5805
ATOMIC_POSITIONS angstrom
Pm 4.9119 6.0007 4.2902
Pm 2.3625 1.2738 4.2902
Pm 5.9997 2.3634 0.0000
Pm 1.2747 4.9110 0.0000
Pm 6.0007 2.3625 4.2902
Pm 1.2738 4.9119 4.2902
Pm 2.3634 1.2747 0.0000
Pm 4.9110 5.9997 0.0000
Ho 3.6372 3.6372 2.1458
Ho 0.0000 0.0000 6.4360
Ho 3.6372 3.6372 6.4347
Ho 0.0000 0.0000 2.1445
Co 2.8414 6.4786 2.1451
Co 4.4331 0.7959 2.1451
Co 0.7959 2.8414 6.4354
Co 6.4786 4.4331 6.4354
Co 6.4786 4.4331 2.1451
Co 0.7959 2.8414 2.1451
Co 2.8414 6.4786 6.4354
Co 4.4331 0.7959 6.4354
```

---

Below is a relaxed Mg2CdW crystal, with properties calculated at the PBE level. Values from VASP.

## Properties
Raw total energy = -3.844 eV/atom
Spin magnetization = 0.0 μB/cell
Energy of formation = 40.54 kJ/mol of atoms
Space-group type = Pmmm

Cell and atoms, written as Quantum ESPRESSO input:
```
&SYSTEM
  ibrav = 0, nat = 4, ntyp = 3
/
ATOMIC_SPECIES
Cd 112.41 Cd.upf
Mg 24.30 Mg.upf
W 183.84 W.upf
CELL_PARAMETERS angstrom
-1.2205 -1.5972 2.0935
3.5741 0.3758 2.3704
-2.2094 5.0129 2.5366
ATOMIC_POSITIONS angstrom
Cd -0.4802 3.1490 4.1344
Mg -0.0404 0.0916 0.0464
Mg -1.0643 2.4149 1.2219
W 0.6245 0.6425 2.8661
```

---

| no. | calculated volume (Å³ per atom) |
| --- | --- |
| 1 | 27.3 |
| 2 | 22.7 |
| 3 | 18.9 |